1.
Here is a relaxed ScIn2Pd2 crystal from Alexandria. Energies are from PBE.

CIF file:
```
data_ScIn2Pd2
_chemical_formula_sum 'Sc2 In4 Pd4'
_cell_length_a 7.676
_cell_length_b 7.676
_cell_length_c 3.288
_cell_angle_alpha 90.00
_cell_angle_beta 90.00
_cell_angle_gamma 90.00
_symmetry_space_group_name_H-M 'P 4/m b m'
_symmetry_Int_Tables_number 127
_symmetry_space_group_name_Hall '-P 4 2ab'
loop_
_atom_site_label
_atom_site_type_symbol
_atom_site_fract_x
_atom_site_fract_y
_atom_site_fract_z
Sc1 Sc 0.000 0.000 0.000
In1 In 0.159 0.341 0.500
Pd1 Pd 0.138 0.638 0.000
```

Calculated total energy, eV/atom: -4.9697
Energy relative to the lowest polymorph listed for this composition, eV per formula unit: 0.665

=====

2.
Here is a relaxed YHf2Os crystal from Alexandria. Energies are from PBE.

CIF file:
```
data_YHf2Os
_chemical_formula_sum 'Y4 Hf8 Os4'
_cell_length_a 8.022
_cell_length_b 8.022
_cell_length_c 5.955
_cell_angle_alpha 90.00
_cell_angle_beta 90.00
_cell_angle_gamma 90.00
_symmetry_space_group_name_H-M 'I -4 2 d'
_symmetry_Int_Tables_number 122
_symmetry_space_group_name_Hall 'I -4 2bw'
loop_
_atom_site_label
_atom_site_type_symbol
_atom_site_fract_x
_atom_site_fract_y
_atom_site_fract_z
Y1 Y 0.000 0.000 0.000
Hf1 Hf 0.182 0.250 0.625
Os1 Os 0.000 0.000 0.500
```

Calculated total energy, eV/atom: -9.3033
Energy relative to the lowest polymorph listed for this composition, eV per formula unit: 1.057

=====

3.
Here is a relaxed KThTe2 crystal from Alexandria. Energies are from PBE.

CIF file:
```
data_KThTe2
_chemical_formula_sum 'K1 Th1 Te2'
_cell_length_a 3.916
_cell_length_b 3.916
_cell_length_c 8.570
_cell_angle_alpha 90.00
_cell_angle_beta 90.00
_cell_angle_gamma 90.00
_symmetry_space_group_name_H-M 'P 4/m m m'
_symmetry_Int_Tables_number 123
_symmetry_space_group_name_Hall '-P 4 2'
loop_
_atom_site_label
_atom_site_type_symbol
_atom_site_fract_x
_atom_site_fract_y
_atom_site_fract_z
K1 K 0.000 0.000 0.000
Th1 Th 0.000 0.000 0.500
Te1 Te 0.500 0.500 0.287
```

Calculated total energy, eV/atom: -4.8815

=====

4.
Here is a relaxed Ba2NaPb2 crystal from Alexandria. Energies are from PBE.

CIF file:
```
data_Ba2NaPb2
_chemical_formula_sum 'Ba8 Na4 Pb8'
_cell_length_a 13.163
_cell_length_b 5.347
_cell_length_c 12.853
_cell_angle_alpha 90.00
_cell_angle_beta 117.91
_cell_angle_gamma 90.00
_symmetry_space_group_name_H-M 'C 1 2/m 1'
_symmetry_Int_Tables_number 12
loop_
_symmetry_equiv_pos_as_xyz
'x,y,z'
'-x,-y,-z'
'-x,y,-z'
'x,-y,z'
'x+1/2,y+1/2,z'
'-x+1/2,-y+1/2,-z'
'-x+1/2,y+1/2,-z'
'x+1/2,-y+1/2,z'
loop_
_atom_site_label
_atom_site_type_symbol
_atom_site_fract_x
_atom_site_fract_y
_atom_site_fract_z
Ba1 Ba 0.006 0.000 0.328
Ba2 Ba 0.181 0.000 0.101
Na1 Na 0.220 0.500 0.368
Pb1 Pb 0.021 0.500 0.888
Pb2 Pb 0.129 0.500 0.578
```

Calculated total energy, eV/atom: -2.9508
Energy relative to the lowest polymorph listed for this composition, eV per formula unit: 0.000

=====

5.
Here is a relaxed Ba2SnPb crystal from Alexandria. Energies are from PBE.

CIF file:
```
data_Ba2SnPb
_chemical_formula_sum 'Ba2 Sn1 Pb1'
_cell_length_a 5.457
_cell_length_b 5.457
_cell_length_c 5.093
_cell_angle_alpha 90.00
_cell_angle_beta 90.00
_cell_angle_gamma 90.00
_symmetry_space_group_name_H-M 'P 4/m m m'
_symmetry_Int_Tables_number 123
_symmetry_space_group_name_Hall '-P 4 2'
loop_
_atom_site_label
_atom_site_type_symbol
_atom_site_fract_x
_atom_site_fract_y
_atom_site_fract_z
Ba1 Ba 0.000 0.500 0.000
Sn1 Sn 0.000 0.000 0.500
Pb1 Pb 0.500 0.500 0.500
```

Calculated total energy, eV/atom: -3.4228
Energy relative to the lowest polymorph listed for this composition, eV per formula unit: 0.436

=====

6.
Here is a relaxed Li2ScCuHg crystal from Alexandria. Energies are from PBE.

CIF file:
```
data_Li2ScCuHg
_chemical_formula_sum 'Li2 Sc1 Cu1 Hg1'
_cell_length_a 4.768
_cell_length_b 4.768
_cell_length_c 5.429
_cell_angle_alpha 90.00
_cell_angle_beta 90.00
_cell_angle_gamma 90.00
_symmetry_space_group_name_H-M 'P 4/m m m'
_symmetry_Int_Tables_number 123
_symmetry_space_group_name_Hall '-P 4 2'
loop_
_atom_site_label
_atom_site_type_symbol
_atom_site_fract_x
_atom_site_fract_y
_atom_site_fract_z
Li1 Li 0.000 0.500 0.000
Sc1 Sc 0.000 0.000 0.500
Cu1 Cu 0.500 0.500 0.500
Hg1 Hg 0.000 0.000 0.000
```

Calculated total energy, eV/atom: -2.4922

=====

7.
Here is a relaxed Nd2Dy7Er3 crystal from Alexandria. Energies are from PBE.

CIF file:
```
data_Nd2Dy7Er3
_chemical_formula_sum 'Nd4 Dy14 Er6'
_cell_length_a 5.684
_cell_length_b 37.697
_cell_length_c 3.604
_cell_angle_alpha 90.00
_cell_angle_beta 90.00
_cell_angle_gamma 90.00
_symmetry_space_group_name_H-M 'C m m m'
_symmetry_Int_Tables_number 65
_symmetry_space_group_name_Hall '-C 2 2'
loop_
_atom_site_label
_atom_site_type_symbol
_atom_site_fract_x
_atom_site_fract_y
_atom_site_fract_z
Nd1 Nd 0.000 0.147 0.000
Dy1 Dy 0.000 0.000 0.000
Dy2 Dy 0.000 0.071 0.500
Dy3 Dy 0.000 0.231 0.000
Dy4 Dy 0.000 0.410 0.000
Er1 Er 0.000 0.314 0.500
Er2 Er 0.000 0.500 0.500
```

Calculated total energy, eV/atom: -4.5051
Energy relative to the lowest polymorph listed for this composition, eV per formula unit: 0.465

=====

8.
Here is a relaxed CsBiSeN2 crystal from Alexandria. Energies are from PBE.

CIF file:
```
data_CsBiSeN2
_chemical_formula_sum 'Cs1 Bi1 Se1 N2'
_cell_length_a 4.926
_cell_length_b 4.926
_cell_length_c 5.697
_cell_angle_alpha 90.00
_cell_angle_beta 90.00
_cell_angle_gamma 90.00
_symmetry_space_group_name_H-M 'P 4/m m m'
_symmetry_Int_Tables_number 123
_symmetry_space_group_name_Hall '-P 4 2'
loop_
_atom_site_label
_atom_site_type_symbol
_atom_site_fract_x
_atom_site_fract_y
_atom_site_fract_z
Cs1 Cs 0.000 0.000 0.000
Bi1 Bi 0.500 0.500 0.500
Se1 Se 0.500 0.500 0.000
N1 N 0.000 0.500 0.500
```

Calculated total energy, eV/atom: -3.9764
Energy relative to the lowest polymorph listed for this composition, eV per formula unit: 0.000

=====

9.
Here is a relaxed HfGaCu4 crystal from Alexandria. Energies are from PBE.

CIF file:
```
data_HfGaCu4
_chemical_formula_sum 'Hf4 Ga4 Cu16'
_cell_length_a 3.016
_cell_length_b 16.863
_cell_length_c 6.818
_cell_angle_alpha 90.00
_cell_angle_beta 90.00
_cell_angle_gamma 90.00
_symmetry_space_group_name_H-M 'C m c m'
_symmetry_Int_Tables_number 63
_symmetry_space_group_name_Hall '-C 2c 2'
loop_
_atom_site_label
_atom_site_type_symbol
_atom_site_fract_x
_atom_site_fract_y
_atom_site_fract_z
Hf1 Hf 0.000 0.098 0.250
Ga1 Ga 0.000 0.255 0.750
Cu1 Cu 0.000 0.066 0.750
Cu2 Cu 0.000 0.341 0.059
Cu3 Cu 0.000 0.500 0.000
```

Calculated total energy, eV/atom: -4.9872

=====

10.
Here is a relaxed Al2GeSb4 crystal from Alexandria. Energies are from PBE.

CIF file:
```
data_Al2GeSb4
_chemical_formula_sum 'Al4 Ge2 Sb8'
_cell_length_a 5.263
_cell_length_b 5.263
_cell_length_c 14.852
_cell_angle_alpha 90.00
_cell_angle_beta 90.00
_cell_angle_gamma 90.00
_symmetry_space_group_name_H-M 'I 4/m m m'
_symmetry_Int_Tables_number 139
_symmetry_space_group_name_Hall '-I 4 2'
loop_
_atom_site_label
_atom_site_type_symbol
_atom_site_fract_x
_atom_site_fract_y
_atom_site_fract_z
Al1 Al 0.000 0.000 0.091
Ge1 Ge 0.000 0.000 0.500
Sb1 Sb 0.000 0.000 0.269
Sb2 Sb 0.000 0.500 0.000
```

Calculated total energy, eV/atom: -3.6976

=====

11.
Here is a relaxed NaTiP2Pt crystal from Alexandria. Energies are from PBE.

CIF file:
```
data_NaTiP2Pt
_chemical_formula_sum 'Na1 Ti1 P2 Pt1'
_cell_length_a 4.705
_cell_length_b 4.705
_cell_length_c 4.749
_cell_angle_alpha 90.00
_cell_angle_beta 90.00
_cell_angle_gamma 90.00
_symmetry_space_group_name_H-M 'P 4/m m m'
_symmetry_Int_Tables_number 123
_symmetry_space_group_name_Hall '-P 4 2'
loop_
_atom_site_label
_atom_site_type_symbol
_atom_site_fract_x
_atom_site_fract_y
_atom_site_fract_z
Na1 Na 0.000 0.000 0.000
Ti1 Ti 0.500 0.500 0.000
P1 P 0.000 0.500 0.500
Pt1 Pt 0.000 0.000 0.500
```

Calculated total energy, eV/atom: -4.6200

=====

12.
Here is a relaxed GaFeOs3 crystal from Alexandria. Energies are from PBE.

CIF file:
```
data_GaFeOs3
_chemical_formula_sum 'Ga1 Fe1 Os3'
_cell_length_a 4.437
_cell_length_b 4.437
_cell_length_c 4.437
_cell_angle_alpha 90.00
_cell_angle_beta 90.00
_cell_angle_gamma 90.00
_symmetry_space_group_name_H-M 'P m -3 m'
_symmetry_Int_Tables_number 221
_symmetry_space_group_name_Hall '-P 4 2 3'
loop_
_atom_site_label
_atom_site_type_symbol
_atom_site_fract_x
_atom_site_fract_y
_atom_site_fract_z
Ga1 Ga 0.000 0.000 0.000
Fe1 Fe 0.500 0.500 0.500
Os1 Os 0.000 0.500 0.500
```

Calculated total energy, eV/atom: -7.3254
Energy relative to the lowest polymorph listed for this composition, eV per formula unit: 0.000

=====

13.
Here is a relaxed CaZr3Cu crystal from Alexandria. Energies are from PBE.

CIF file:
```
data_CaZr3Cu
_chemical_formula_sum 'Ca1 Zr3 Cu1'
_cell_length_a 5.068
_cell_length_b 5.068
_cell_length_c 5.068
_cell_angle_alpha 90.00
_cell_angle_beta 90.00
_cell_angle_gamma 90.00
_symmetry_space_group_name_H-M 'P m -3 m'
_symmetry_Int_Tables_number 221
_symmetry_space_group_name_Hall '-P 4 2 3'
loop_
_atom_site_label
_atom_site_type_symbol
_atom_site_fract_x
_atom_site_fract_y
_atom_site_fract_z
Ca1 Ca 0.000 0.000 0.000
Zr1 Zr 0.000 0.500 0.500
Cu1 Cu 0.500 0.500 0.500
```

Calculated total energy, eV/atom: -5.8804
Energy relative to the lowest polymorph listed for this composition, eV per formula unit: 0.000

=====

14.
Here is a relaxed Pm2CoSe crystal from Alexandria. Energies are from PBE.

CIF file:
```
data_Pm2CoSe
_chemical_formula_sum 'Pm8 Co4 Se4'
_cell_length_a 4.166
_cell_length_b 23.287
_cell_length_c 4.089
_cell_angle_alpha 90.00
_cell_angle_beta 90.00
_cell_angle_gamma 90.00
_symmetry_space_group_name_H-M 'C m c m'
_symmetry_Int_Tables_number 63
_symmetry_space_group_name_Hall '-C 2c 2'
loop_
_atom_site_label
_atom_site_type_symbol
_atom_site_fract_x
_atom_site_fract_y
_atom_site_fract_z
Pm1 Pm 0.000 0.064 0.250
Pm2 Pm 0.000 0.318 0.250
Co1 Co 0.000 0.478 0.250
Se1 Se 0.000 0.192 0.250
```

Calculated total energy, eV/atom: -5.9644
Energy relative to the lowest polymorph listed for this composition, eV per formula unit: 0.000

=====

15.
Here is a relaxed AlSiN crystal from Alexandria. Energies are from PBE.

CIF file:
```
data_AlSiN
_chemical_formula_sum 'Al4 Si4 N4'
_cell_length_a 5.043
_cell_length_b 2.905
_cell_length_c 11.747
_cell_angle_alpha 90.00
_cell_angle_beta 90.63
_cell_angle_gamma 90.00
_symmetry_space_group_name_H-M 'C 1 2/m 1'
_symmetry_Int_Tables_number 12
loop_
_symmetry_equiv_pos_as_xyz
'x,y,z'
'-x,-y,-z'
'-x,y,-z'
'x,-y,z'
'x+1/2,y+1/2,z'
'-x+1/2,-y+1/2,-z'
'-x+1/2,y+1/2,-z'
'x+1/2,-y+1/2,z'
loop_
_atom_site_label
_atom_site_type_symbol
_atom_site_fract_x
_atom_site_fract_y
_atom_site_fract_z
Al1 Al 0.168 0.000 0.408
Si1 Si 0.171 0.000 0.193
N1 N 0.163 0.000 0.855
```

Calculated total energy, eV/atom: -6.1687

=====

16.
Here is a relaxed TbYSc2Hg4 crystal from Alexandria. Energies are from PBE.

CIF file:
```
data_TbYSc2Hg4
_chemical_formula_sum 'Tb3 Y3 Sc6 Hg12'
_cell_length_a 5.1361
_cell_length_b 5.1361
_cell_length_c 25.1666
_cell_angle_alpha 90.00
_cell_angle_beta 90.00
_cell_angle_gamma 120.00
_symmetry_space_group_name_H-M 'R -3 m'
_symmetry_Int_Tables_number 166
_symmetry_space_group_name_Hall '-R 3 2"'
loop_
_atom_site_label
_atom_site_type_symbol
_atom_site_fract_x
_atom_site_fract_y
_atom_site_fract_z
Tb1 Tb 0.0000 0.0000 0.0000
Y1 Y 0.0000 0.0000 0.5000
Sc1 Sc 0.0000 0.0000 0.2498
Hg1 Hg 0.0000 0.0000 0.1249
Hg2 Hg 0.0000 0.0000 0.3749
```

Calculated total energy, eV/atom: -3.5739

=====

17.
Here is a relaxed SrMg2TaO6 crystal from Alexandria. Energies are from PBE.

CIF file:
```
data_SrMg2TaO6
_chemical_formula_sum 'Sr4 Mg8 Ta4 O24'
_cell_length_a 9.518
_cell_length_b 11.702
_cell_length_c 6.600
_cell_angle_alpha 90.00
_cell_angle_beta 119.97
_cell_angle_gamma 90.00
_symmetry_space_group_name_H-M 'C 1 2/c 1'
_symmetry_Int_Tables_number 15
loop_
_symmetry_equiv_pos_as_xyz
'x,y,z'
'-x,-y,-z'
'-x,y,-z+1/2'
'x,-y,z+1/2'
'x+1/2,y+1/2,z'
'-x+1/2,-y+1/2,-z'
'-x+1/2,y+1/2,-z+1/2'
'x+1/2,-y+1/2,z+1/2'
loop_
_atom_site_label
_atom_site_type_symbol
_atom_site_fract_x
_atom_site_fract_y
_atom_site_fract_z
Sr1 Sr 0.000 0.113 0.250
Mg1 Mg 0.123 0.422 0.150
Ta1 Ta 0.000 0.184 0.750
O1 O 0.101 0.258 0.040
O2 O 0.117 0.448 0.443
O3 O 0.126 0.079 0.696
```

Calculated total energy, eV/atom: -7.1745